No. 1
This record from the Alexandria database describes an optimized crystal structure of K3Hf. The functional is PBE-GGA.

Properties
Formation enthalpy at 0 K: 1.1262 eV/atom
Relative energy among the computed polymorphs: 0.037 eV per formula unit
Space-group type: I4/mmm

a = 7.238 Å, b = 7.238 Å, c = 7.238 Å
α = 133.26°, β = 133.26°, γ = 68.24°
Positions (direct):
K1 0.000 0.000 0.000
K2 0.250 0.750 0.500
K3 0.750 0.250 0.500
Hf1 0.500 0.500 0.000

No. 2
This record from the Alexandria database describes an optimized crystal structure of K4Hf. The functional is PBE-GGA.

Properties
Formation enthalpy at 0 K: 1.0300 eV/atom
Space-group type: Pm-3m

a = 6.987 Å, b = 6.987 Å, c = 6.987 Å
α = 90.00°, β = 90.00°, γ = 90.00°
Positions (direct):
K1 0.000 0.000 0.000
K2 0.000 0.500 0.500
K3 0.500 0.000 0.500
K4 0.500 0.500 0.000
Hf1 0.500 0.500 0.500

No. 3
This record from the Alexandria database describes an optimized crystal structure of K3Hf. The functional is PBE-GGA.

Properties
Formation enthalpy at 0 K: 1.1293 eV/atom
Relative energy among the computed polymorphs: 0.049 eV per formula unit
Space-group type: Pm-3m

a = 5.845 Å, b = 5.845 Å, c = 5.845 Å
α = 90.00°, β = 90.00°, γ = 90.00°
Positions (direct):
K1 0.000 0.000 0.500
K2 0.000 0.500 0.000
K3 0.500 0.000 0.000
Hf1 0.500 0.500 0.500